MnAgO2: PBEsol geometry, meta-GGA SCAN.

The structure belongs to space group R-3m (No. 166, hexagonal axes); the cell edges are 2.8291, 2.8291 and 19.4124 Å and the angles 90.00°, 90.00° and 120.00°. The inequivalent atoms are Mn at (0.0000, 0.0000, 0.0000), Ag at (0.0000, 0.0000, 0.5000) and O at (0.0000, 0.0000, 0.3861).

The volume is 135 Å³ per cell. The uncorrected formation energy is -1.405 eV per atom. The calculation puts the density at 7.21 g/cm3. For the density of states at the Fermi level, the calculation gives 5.2 states/eV/cell.